No. 1
VASP calculation (PBEsol) on ZrW4 after structural relaxation.

Output
SG: Im-3m (229)
Relative energy among the computed polymorphs in eV/f.u.: 7.72
Energy of formation from the pure elements in kcal/mol of atoms: 51.8
V in Å³/f.u.: 100.6

Cell lengths 5.075, 5.075, 5.075 Å; angles 109.47, 109.47, 109.47 degrees
Sites, in units of the cell vectors:
1 W 0.500 0.000 0.000
2 W 0.000 0.000 0.500
3 W 0.500 0.500 0.500
4 W 0.000 0.500 0.000
5 Zr 0.000 0.000 0.000

***

No. 2
VASP calculation (PBEsol) on AlCdFe2 after structural relaxation.

Output
SG: Cmmm (65)
Relative energy among the computed polymorphs in eV/f.u.: 0.36
Energy of formation from the pure elements in kcal/mol of atoms: 3.2
V in Å³/f.u.: 54.9

Cell lengths 2.687, 4.665, 4.665 Å; angles 110.08, 89.95, 89.95 degrees
Last column: magnetic moment on the atom in μB.
Sites, in units of the cell vectors:
1 Cd 0.500 0.000 0.000  -0.04
2 Al 0.500 0.500 0.500  -0.05
3 Fe 0.000 0.500 0.000  2.21
4 Fe 0.000 0.000 0.500  2.21